Below is a relaxed Li2EuHg crystal, with properties calculated at the GGA-PBE level.

## Properties
For the relative energy among the computed polymorphs, the calculation gives 11 kJ/mol of formula units.

Cell and atoms, written as POSCAR:
```
Li2EuHg
1.0
4.548 0.000 0.000
0.000 4.548 0.000
0.000 0.000 5.065
Li Eu Hg
2 1 1
direct
0.000 0.500 0.000
0.500 0.000 0.000
0.000 0.000 0.500
0.500 0.500 0.500
```



Below is a relaxed LiEuMgHg crystal, with properties calculated at the GGA-PBE level.

Cell and atoms, written as POSCAR:
```
LiEuMgHg
1.0
0.000 3.675 3.675
3.675 0.000 3.675
3.675 3.675 0.000
Li Eu Mg Hg
1 1 1 1
direct
0.000 0.000 0.000
0.750 0.750 0.750
0.250 0.250 0.250
0.500 0.500 0.500
```



Below is a relaxed LiNdEuHg crystal, with properties calculated at the GGA-PBE level.

Cell and atoms, written as POSCAR:
```
LiNdEuHg
1.0
0.000 3.854 3.854
3.854 0.000 3.854
3.854 3.854 0.000
Li Nd Eu Hg
1 1 1 1
direct
0.000 0.000 0.000
0.250 0.250 0.250
0.750 0.750 0.750
0.500 0.500 0.500
```



Below is a relaxed LiEuNiHg crystal, with properties calculated at the GGA-PBE level.

Cell and atoms, written as POSCAR:
```
LiEuNiHg
1.0
0.000 3.399 3.399
3.399 0.000 3.399
3.399 3.399 0.000
Li Eu Ni Hg
1 1 1 1
direct
0.000 0.000 0.000
0.750 0.750 0.750
0.500 0.500 0.500
0.250 0.250 0.250
```



Below is a relaxed LiEuHgP crystal, with properties calculated at the GGA-PBE level.

Cell and atoms, written as POSCAR:
```
LiEuHgP
1.0
0.000 3.555 3.555
3.555 0.000 3.555
3.555 3.555 0.000
Li Eu Hg P
1 1 1 1
direct
0.000 0.000 0.000
0.500 0.500 0.500
0.250 0.250 0.250
0.750 0.750 0.750
```



Below is a relaxed LiEuHgPb crystal, with properties calculated at the GGA-PBE level.

Cell and atoms, written as POSCAR:
```
LiEuHgPb
1.0
0.000 3.735 3.735
3.735 0.000 3.735
3.735 3.735 0.000
Li Eu Hg Pb
1 1 1 1
direct
0.000 0.000 0.000
0.500 0.500 0.500
0.750 0.750 0.750
0.250 0.250 0.250
```



Below is a relaxed LiEuHgPd crystal, with properties calculated at the GGA-PBE level.

Cell and atoms, written as POSCAR:
```
LiEuHgPd
1.0
0.000 3.486 3.486
3.486 0.000 3.486
3.486 3.486 0.000
Li Eu Hg Pd
1 1 1 1
direct
0.000 0.000 0.000
0.750 0.750 0.750
0.250 0.250 0.250
0.500 0.500 0.500
```



Below is a relaxed LiEuScHg crystal, with properties calculated at the GGA-PBE level.

Cell and atoms, written as POSCAR:
```
LiEuScHg
1.0
0.000 3.688 3.688
3.688 0.000 3.688
3.688 3.688 0.000
Li Eu Sc Hg
1 1 1 1
direct
0.000 0.000 0.000
0.750 0.750 0.750
0.250 0.250 0.250
0.500 0.500 0.500
```



Below is a relaxed LiEuSnHg crystal, with properties calculated at the GGA-PBE level.

Cell and atoms, written as POSCAR:
```
LiEuSnHg
1.0
0.000 3.695 3.695
3.695 0.000 3.695
3.695 3.695 0.000
Li Eu Sn Hg
1 1 1 1
direct
0.000 0.000 0.000
0.500 0.500 0.500
0.250 0.250 0.250
0.750 0.750 0.750
```



Below is a relaxed SrLiEuHg crystal, with properties calculated at the GGA-PBE level.

Cell and atoms, written as POSCAR:
```
SrLiEuHg
1.0
0.000 3.987 3.987
3.987 0.000 3.987
3.987 3.987 0.000
Sr Li Eu Hg
1 1 1 1
direct
0.000 0.000 0.000
0.750 0.750 0.750
0.500 0.500 0.500
0.250 0.250 0.250
```



Below is a relaxed LiEuThHg crystal, with properties calculated at the GGA-PBE level.

Cell and atoms, written as POSCAR:
```
LiEuThHg
1.0
0.000 3.819 3.819
3.819 0.000 3.819
3.819 3.819 0.000
Li Eu Th Hg
1 1 1 1
direct
0.000 0.000 0.000
0.750 0.750 0.750
0.250 0.250 0.250
0.500 0.500 0.500
```



Below is a relaxed LiEuTlHg crystal, with properties calculated at the GGA-PBE level.

Cell and atoms, written as POSCAR:
```
LiEuTlHg
1.0
0.000 3.676 3.676
3.676 0.000 3.676
3.676 3.676 0.000
Li Eu Tl Hg
1 1 1 1
direct
0.000 0.000 0.000
0.750 0.750 0.750
0.250 0.250 0.250
0.500 0.500 0.500
```



| no. | ΔH_f (0 K) (meV/atom) | spin magnetization (μB/atom) |
| --- | --- | --- |
| 1 | -155 | 1.9466 |
| 2 | -257 | 1.9080 |
| 3 | -218 | 1.7809 |
| 4 | -137 | 1.7755 |
| 5 | -606 | 1.7501 |
| 6 | -429 | 1.7093 |
| 7 | -423 | 1.7937 |
| 8 | -148 | 1.7923 |
| 9 | -481 | 1.7021 |
| 10 | -257 | 1.8618 |
| 11 | -27 | 1.9472 |
| 12 | -318 | 1.7884 |